[1]
Density functional theory data (PBE) for a relaxed LiZr2Ag crystal.

Computed properties:
The value obtained for the distance to the lowest polymorph of the same formula is 155 meV per atom. As for the size of the total moment: 0.00 μB per formula unit.

```
4
Lattice="-2.1656 -0.9577 -5.2867 3.5789 -1.7967 -4.1856 -2.3985 -1.0045 5.1763" Properties=species:S:1:pos:R:3 pbc="T T T"
Zr -1.9390 -1.6497 -2.3544
Zr 0.0057 -0.0112 -0.0385
Ag 0.6750 -1.3156 -4.5244
Li 0.9796 -2.1596 -2.1148
```

***

[2]
Density functional theory data (PBE) for a relaxed Li2ZrAg crystal.

Computed properties:
The value obtained for the distance to the lowest polymorph of the same formula is 8 meV per atom. As for the size of the total moment: 0.00 μB per formula unit.

```
4
Lattice="9.7940 -0.0187 -0.0109 9.3439 2.9349 -0.0109 9.3439 1.4238 2.5664" Properties=species:S:1:pos:R:3 pbc="T T T"
Ag 21.3614 3.2551 1.9084
Li 0.2707 0.0413 0.0242
Li 13.9702 2.1288 1.2481
Zr 7.1205 1.0850 0.6361
```

***

[3]
Density functional theory data (PBE) for a relaxed LiZr2Ag crystal.

Computed properties:
The value obtained for the distance to the lowest polymorph of the same formula is 131 meV per atom. As for the size of the total moment: 0.00 μB per formula unit.

```
4
Lattice="-3.0771 2.7624 -1.4251 -1.6972 -0.6312 2.4412 1.7595 4.1298 4.2059" Properties=species:S:1:pos:R:3 pbc="T T T"
Li -1.1757 4.1149 3.8027
Zr 0.1015 3.4235 6.4169
Zr -1.5847 2.2919 1.1525
Ag -0.2624 1.6786 3.8203
```

***

no.,calculated density (g cm⁻³)
1,6.24
2,4.75
3,6.23